[1]
DFT (PBE) results for crystalline Tl2RhCl at its relaxed geometry.

Values from the calculation:
- ΔE_f (raw): -122 meV/atom
- ΔE to the lowest computed polymorph: 48 meV/atom

Cell: 4.7298 4.7622 7.9042 Å, 90.00 90.00 90.00°
Space group Cmmm (No. 65)
Unique sites:
Tl 0.0000 0.0000 0.2199 [4 per cell]
Rh 0.0000 0.5000 0.0000 [2 per cell]
Cl 0.0000 0.5000 0.5000 [2 per cell]

[2]
DFT (PBE) results for crystalline RbNa2Hg2 at its relaxed geometry.

Values from the calculation:
- Formation energy from the elements: -0.172 eV/atom
- ΔE to the lowest computed polymorph: 15 meV/atom

Cell: 10.2918 5.9548 6.0733 Å, 90.00 110.27 90.00°
Space group C2/m (No. 12)
Unique sites:
Rb 0.0000 0.0000 0.0000 [2 per cell]
Na 0.2389 0.5000 0.3083 [4 per cell]
Hg 0.1131 0.5000 0.7336 [4 per cell]

[3]
DFT (PBE) results for crystalline InSbP2 at its relaxed geometry.

Values from the calculation:
- ΔE_f (raw): 445 meV/atom
- ΔE to the lowest computed polymorph: 401 meV/atom

Cell: 3.9187 3.9187 11.3240 Å, 90.00 90.00 90.00°
Space group I-4m2 (No. 119)
Unique sites:
In 0.0000 0.0000 0.0000 [2 per cell]
Sb 0.0000 0.5000 0.2500 [2 per cell]
P 0.0000 0.0000 0.5000 [2 per cell]
P 0.0000 0.5000 0.7500 [2 per cell]

DFT total energy list, top to bottom, in eV per formula unit: -14.42; -5.07; -15.90